[1]
Compound: Sr2TiMnN
Source: Alexandria via LeMat-Bulk
Functional: PBE-GGA
Structure: optimized geometry

Its electronic total energy is -25.9 eV for the cell shown. As for the formation energy without anion corrections: 567 meV per atom. The value obtained for the density of states at the Fermi level is 6.691 states/eV/cell. As for the crystal system: tetragonal.

abc: 6.257 6.257 3.828
angles: 90.00 90.00 90.00
Last column: magnetic moment on the atom in μB.
Element x y z (fractional)
1 Sr 0.000 0.500 0.000  0.02
2 Sr 0.500 0.000 0.000  0.02
3 N 0.000 0.000 0.500  -0.04
4 Mn 0.500 0.500 0.500  4.14
5 Ti 0.000 0.000 0.000  0.64

***

[2]
Compound: NpCu2P3
Source: Alexandria via LeMat-Bulk
Functional: PBE-GGA
Structure: optimized geometry

Its electronic total energy is -76.3 eV for the cell shown. For the formation energy, the calculation gives -77 kJ/mol of formula units. The value obtained for the density of states at the Fermi level is 17.217 states/eV/cell. As for the crystal system: orthorhombic.

abc: 3.990 5.108 10.829
angles: 90.00 90.00 90.00
Last column: magnetic moment on the atom in μB.
Element x y z (fractional)
1 Np 0.504 0.500 0.500  1.99
2 Np 0.496 0.000 0.000  1.99
3 Cu 0.005 0.000 0.622  -0.03
4 Cu 0.005 0.000 0.378  -0.03
5 Cu 0.995 0.500 0.122  -0.03
6 Cu 0.995 0.500 0.878  -0.03
7 P 0.004 0.500 0.665  -0.07
8 P 0.504 0.000 0.500  -0.08
9 P 0.004 0.500 0.335  -0.07
10 P 0.996 0.000 0.165  -0.07
11 P 0.496 0.500 0.000  -0.08
12 P 0.996 0.000 0.835  -0.07

***

[3]
Compound: Ti2NbS6
Source: Alexandria via LeMat-Bulk
Functional: PBE-GGA
Structure: optimized geometry

Its electronic total energy is -58.9 eV for the cell shown. As for the formation energy without anion corrections: -918 meV per atom. The value obtained for the density of states at the Fermi level is 4.422 states/eV/cell. As for the crystal system: monoclinic. Its excess energy over the best structure of this formula in the dataset is 2.367 eV/f.u.

abc: 4.624 6.441 7.141
angles: 69.22 71.11 68.96
Element x y z (fractional)
1 Ti 0.174 0.716 0.936
2 Ti 0.826 0.284 0.064
3 Nb 0.000 0.500 0.500
4 S 0.744 0.675 0.836
5 S 0.256 0.325 0.164
6 S 0.953 0.863 0.230
7 S 0.371 0.664 0.594
8 S 0.047 0.137 0.770
9 S 0.629 0.336 0.406

***

[4]
Compound: TaAl2Pd2
Source: Alexandria via LeMat-Bulk
Functional: PBE-GGA
Structure: optimized geometry

Its electronic total energy is -64.5 eV for the cell shown. For the formation energy, the calculation gives -245 kJ/mol of formula units. The value obtained for the density of states at the Fermi level is 6.896 states/eV/cell. As for the crystal system: tetragonal.

abc: 7.464 7.464 2.806
angles: 90.00 90.00 90.00
Element x y z (fractional)
1 Al 0.163 0.663 0.500
2 Al 0.663 0.837 0.500
3 Al 0.837 0.337 0.500
4 Al 0.337 0.163 0.500
5 Pd 0.366 0.866 0.000
6 Pd 0.866 0.634 0.000
7 Pd 0.634 0.134 0.000
8 Pd 0.134 0.366 0.000
9 Ta 0.000 0.000 0.000
10 Ta 0.500 0.500 0.000

***

[5]
Compound: NaInSnPt
Source: Alexandria via LeMat-Bulk
Functional: PBE-GGA
Structure: optimized geometry

Its electronic total energy is -15.2 eV for the cell shown. For the formation energy, the calculation gives -103 kJ/mol of formula units. The value obtained for the density of states at the Fermi level is 2.032 states/eV/cell. As for the crystal system: cubic.

abc: 4.859 4.859 4.859
angles: 60.00 60.00 60.00
Element x y z (fractional)
1 Na 0.250 0.250 0.250
2 Sn 0.000 0.000 0.000
3 Pt 0.750 0.750 0.750
4 In 0.500 0.500 0.500

***

[6]
Compound: SrCeCrN4
Source: Alexandria via LeMat-Bulk
Functional: PBE-GGA
Structure: optimized geometry

Its electronic total energy is -114.6 eV for the cell shown. As for the formation energy without anion corrections: -967 meV per atom. As for the crystal system: monoclinic.

abc: 5.811 5.556 7.079
angles: 90.00 106.87 90.00
Element x y z (fractional)
1 Sr 0.712 0.750 0.924
2 Sr 0.288 0.250 0.076
3 Ce 0.774 0.750 0.445
4 Ce 0.226 0.250 0.555
5 Cr 0.233 0.750 0.315
6 Cr 0.767 0.250 0.685
7 N 0.960 0.494 0.714
8 N 0.040 0.994 0.286
9 N 0.040 0.506 0.286
10 N 0.960 0.006 0.714
11 N 0.432 0.750 0.171
12 N 0.568 0.250 0.829
13 N 0.420 0.750 0.552
14 N 0.580 0.250 0.448